TeAs2W, optimized geometry, DFT GGA-PBE; ΔE_f (raw) = 0.8671 eV/atom; total magnetization = 0.00 Bohr magnetons per cell; raw total energy = -5.4814 eV/atom; density of states at the Fermi level = 3.9 states/eV per cell
1.0
5.125 0.072 0.000
-2.218 4.621 0.000
0.000 0.000 3.267
W As Te
1 2 1
Direct
0.000 0.500 0.500 W
0.000 0.000 0.000 As
0.500 0.500 0.000 As
0.500 0.000 0.500 Te

---

TeAs2W, optimized geometry, DFT GGA-PBE; ΔE_f (raw) = 0.4865 eV/atom; total magnetization = 0.00 Bohr magnetons per cell; raw total energy = -5.8619 eV/atom; density of states at the Fermi level = 3.6 states/eV per cell
1.0
4.822 0.000 0.000
0.000 3.826 0.007
0.000 1.004 4.575
W As Te
1 2 1
Direct
0.500 0.750 0.750 W
0.000 0.550 0.574 As
0.000 0.950 0.926 As
0.500 0.250 0.250 Te

---

TeAsW, optimized geometry, DFT GGA-PBE; ΔE_f (raw) = 0.4907 eV/atom; total magnetization = 0.00 Bohr magnetons per cell; distance to the lowest polymorph of the same formula = 335 meV/atom; raw total energy = -6.4241 eV/atom; density of states at the Fermi level = 1.9 states/eV per cell
1.0
-1.955 6.766 -3.700
-3.230 4.486 -5.371
-2.000 1.446 1.877
Te W As
1 1 1
Direct
0.309 0.309 0.691 Te
0.658 0.658 0.342 W
0.034 0.034 0.966 As

---

TeAsW, optimized geometry, DFT GGA-PBE; ΔE_f (raw) = 0.7217 eV/atom; total magnetization = 0.00 Bohr magnetons per cell; distance to the lowest polymorph of the same formula = 566 meV/atom; raw total energy = -6.1931 eV/atom; density of states at the Fermi level = 2.3 states/eV per cell
1.0
4.693 0.000 0.000
-2.347 4.065 0.000
0.000 0.000 3.119
As Te W
1 1 1
Direct
0.000 0.000 0.844 As
0.667 0.333 0.443 Te
0.333 0.667 0.713 W

---

TeAs2W, optimized geometry, DFT GGA-PBE; ΔE_f (raw) = 0.6817 eV/atom; total magnetization = 0.00 Bohr magnetons per cell; raw total energy = -5.6668 eV/atom; density of states at the Fermi level = 2.8 states/eV per cell
1.0
4.725 -0.021 -0.093
0.007 4.725 -0.093
-2.429 -2.415 3.529
Te As W
1 2 1
Direct
0.495 0.505 0.000 Te
0.003 0.997 0.000 As
0.284 0.716 0.500 As
0.718 0.282 0.500 W

---

Te3AsW, optimized geometry, DFT GGA-PBE; ΔE_f (raw) = 0.8193 eV/atom; total magnetization = 0.00 Bohr magnetons per cell; distance to the lowest polymorph of the same formula = 0 meV/atom; raw total energy = -4.5862 eV/atom; density of states at the Fermi level = 5.5 states/eV per cell
1.0
5.254 0.000 0.000
0.000 5.254 0.000
0.000 0.000 5.254
Te As W
3 1 1
Direct
0.500 0.000 0.000 Te
0.000 0.500 0.000 Te
0.000 0.000 0.500 Te
0.500 0.500 0.500 As
0.000 0.000 0.000 W

---

TeAsW, optimized geometry, DFT GGA-PBE; ΔE_f (raw) = 1.1339 eV/atom; total magnetization = 0.00 Bohr magnetons per cell; distance to the lowest polymorph of the same formula = 978 meV/atom; raw total energy = -5.7809 eV/atom; density of states at the Fermi level = 2.4 states/eV per cell
1.0
4.521 0.000 0.000
2.261 3.915 0.000
2.261 1.305 3.691
As Te W
1 1 1
Direct
0.750 0.750 0.750 As
0.000 0.000 0.000 Te
0.500 0.500 0.500 W

---

TeAsW, optimized geometry, DFT GGA-PBE; ΔE_f (raw) = 0.2195 eV/atom; total magnetization = 0.00 Bohr magnetons per cell; distance to the lowest polymorph of the same formula = 64 meV/atom; raw total energy = -6.6952 eV/atom; density of states at the Fermi level = 1.7 states/eV per cell
1.0
-4.246 5.336 -0.147
-5.154 2.787 3.491
6.180 -2.850 -0.454
Te As W
1 1 1
Direct
0.294 0.294 0.000 Te
0.046 0.046 0.000 As
0.660 0.660 0.000 W

---

TeAs2W, optimized geometry, DFT GGA-PBE; ΔE_f (raw) = 0.3057 eV/atom; total magnetization = 0.00 Bohr magnetons per cell; raw total energy = -6.0428 eV/atom; density of states at the Fermi level = 1.2 states/eV per cell
1.0
-4.507 -7.962 -1.205
-3.533 -8.300 1.947
-6.305 -6.624 1.239
As Te W
2 1 1
Direct
0.007 0.007 0.007 As
0.270 0.270 0.270 As
0.480 0.480 0.480 Te
0.743 0.743 0.743 W

---

TeAs2W, optimized geometry, DFT GGA-PBE; ΔE_f (raw) = 0.6354 eV/atom; total magnetization = 0.00 Bohr magnetons per cell; raw total energy = -5.7130 eV/atom; density of states at the Fermi level = 4.9 states/eV per cell
1.0
6.326 0.000 0.000
0.000 6.326 0.000
3.163 3.163 5.645
W Te As
2 2 4
Direct
0.750 0.250 0.500 W
0.000 0.000 0.000 W
0.250 0.750 0.500 Te
0.500 0.500 0.000 Te
0.059 0.625 0.250 As
0.875 0.941 0.750 As
0.691 0.125 0.250 As
0.375 0.309 0.750 As

---

Te2As3W4, optimized geometry, DFT GGA-PBE; ΔE_f (raw) = 0.1839 eV/atom; total magnetization = 0.00 Bohr magnetons per cell; raw total energy = -7.8210 eV/atom; density of states at the Fermi level = 10.1 states/eV per cell
1.0
5.347 0.101 -0.605
-1.179 9.165 -2.480
0.372 -1.868 9.376
Te W As
4 8 6
Direct
0.682 0.468 0.166 Te
0.318 0.532 0.834 Te
0.182 0.166 0.468 Te
0.818 0.834 0.532 Te
0.873 0.943 0.854 W
0.466 0.348 0.353 W
0.534 0.652 0.647 W
0.127 0.057 0.146 W
0.627 0.146 0.057 W
0.034 0.647 0.652 W
0.966 0.353 0.348 W
0.373 0.854 0.943 W
0.893 0.759 0.978 As
0.250 0.605 0.395 As
0.107 0.241 0.022 As
0.750 0.395 0.605 As
0.393 0.978 0.759 As
0.607 0.022 0.241 As

---

TeAs2W, optimized geometry, DFT GGA-PBE; ΔE_f (raw) = 0.3434 eV/atom; total magnetization = 0.00 Bohr magnetons per cell; raw total energy = -6.0051 eV/atom; density of states at the Fermi level = 1.5 states/eV per cell
1.0
7.256 0.019 -0.011
5.317 4.937 0.011
-6.048 -3.083 2.562
As Te W
2 1 1
Direct
0.101 0.101 0.000 As
0.716 0.216 0.500 As
0.423 0.423 0.000 Te
0.260 0.760 0.500 W

---

TeAs2W, optimized geometry, DFT GGA-PBE; ΔE_f (raw) = 0.7030 eV/atom; total magnetization = 2.01 Bohr magnetons per cell; raw total energy = -5.6455 eV/atom; density of states at the Fermi level = 1.9 states/eV per cell
1.0
-3.515 -3.208 0.673
0.539 0.731 -4.720
1.126 -4.134 -2.173
W As Te
1 2 1
Direct
0.000 0.500 0.500 W
0.500 0.500 0.000 As
0.000 0.000 0.000 As
0.500 0.000 0.500 Te

---

TeAs2W, optimized geometry, DFT GGA-PBE; ΔE_f (raw) = 0.2327 eV/atom; total magnetization = 0.00 Bohr magnetons per cell; raw total energy = -6.1157 eV/atom; density of states at the Fermi level = 1.5 states/eV per cell
1.0
3.312 0.000 0.000
0.000 3.312 0.000
0.000 0.000 7.601
Te As W
1 2 1
Direct
0.000 0.000 0.570 Te
0.500 0.500 0.160 As
0.000 0.000 0.977 As
0.500 0.500 0.793 W

---

TeAs2W, optimized geometry, DFT GGA-PBE; ΔE_f (raw) = 0.5976 eV/atom; total magnetization = 0.00 Bohr magnetons per cell; raw total energy = -5.7508 eV/atom; density of states at the Fermi level = 3.2 states/eV per cell
1.0
-0.057 -0.557 -2.951
2.627 -0.761 1.243
-3.465 -9.055 1.777
Te As W
1 2 1
Direct
0.000 0.000 0.528 Te
0.500 0.500 0.243 As
0.000 0.000 0.962 As
0.500 0.500 0.767 W

---

TeAs2W, optimized geometry, DFT GGA-PBE; ΔE_f (raw) = 0.8119 eV/atom; total magnetization = 0.00 Bohr magnetons per cell; raw total energy = -5.5366 eV/atom; density of states at the Fermi level = 3.3 states/eV per cell
1.0
-1.539 1.294 -2.607
-3.888 0.463 2.525
1.457 4.567 1.406
Te W As
1 1 2
Direct
0.500 0.000 0.500 Te
0.000 0.500 0.500 W
0.500 0.500 0.000 As
0.000 0.000 0.000 As

---

Te3AsW, optimized geometry, DFT GGA-PBE; ΔE_f (raw) = 1.4580 eV/atom; total magnetization = 3.26 Bohr magnetons per cell; distance to the lowest polymorph of the same formula = 639 meV/atom; raw total energy = -3.9476 eV/atom; density of states at the Fermi level = 4.4 states/eV per cell
1.0
5.319 0.000 0.000
0.000 5.319 0.000
0.000 0.000 5.319
Te W As
3 1 1
Direct
0.500 0.000 0.000 Te
0.000 0.000 0.500 Te
0.000 0.500 0.000 Te
0.500 0.500 0.500 W
0.000 0.000 0.000 As

---

TeAsW, optimized geometry, DFT GGA-PBE; ΔE_f (raw) = 0.1558 eV/atom; total magnetization = 0.00 Bohr magnetons per cell; distance to the lowest polymorph of the same formula = 0 meV/atom; raw total energy = -6.7590 eV/atom; density of states at the Fermi level = 2.4 states/eV per cell
1.0
-0.617 -0.952 -3.274
0.376 -2.408 2.463
-6.213 0.176 1.120
As W Te
1 1 1
Direct
0.000 0.000 0.936 As
0.333 0.667 0.682 W
0.667 0.333 0.382 Te

---

TeAs3W, optimized geometry, DFT GGA-PBE; ΔE_f (raw) = 0.4857 eV/atom; total magnetization = 0.00 Bohr magnetons per cell; distance to the lowest polymorph of the same formula = 0 meV/atom; raw total energy = -5.5230 eV/atom; density of states at the Fermi level = 2.9 states/eV per cell
1.0
4.927 0.000 0.000
0.000 4.927 0.000
0.000 0.000 4.927
W As Te
1 3 1
Direct
0.000 0.000 0.000 W
0.000 0.000 0.500 As
0.000 0.500 0.000 As
0.500 0.000 0.000 As
0.500 0.500 0.500 Te

---

TeAsW, optimized geometry, DFT GGA-PBE; ΔE_f (raw) = 0.3637 eV/atom; total magnetization = 0.00 Bohr magnetons per cell; distance to the lowest polymorph of the same formula = 208 meV/atom; raw total energy = -6.5511 eV/atom; density of states at the Fermi level = 3.2 states/eV per cell
1.0
4.593 0.289 0.158
-1.545 5.630 -0.174
-0.370 -2.323 6.179
As Te W
2 2 2
Direct
0.458 0.294 0.187 As
0.542 0.706 0.813 As
0.921 0.201 0.732 Te
0.079 0.799 0.268 Te
0.440 0.268 0.542 W
0.560 0.732 0.458 W